HPbO2 PBE-GGA optimized geometry; VASP energy = -20.41 eV for the cell shown; crystal system = triclinic; energy above the most stable polymorph in this dataset = 0.09 eV per formula unit; magnetization = 0.000 μB/cell
1.0
3.3855 0.7618 0.2201
0.8984 4.0065 0.7718
-1.8170 -1.3560 3.9758
H Pb O
1 1 2
Cartesian
1.5092 2.3210 3.9379
0.3711 0.1425 1.3524
1.7215 1.8646 2.0755
1.2865 3.1403 4.4524